Record 1
Entry from Alexandria via LeMat-Bulk: TiMnS3 after structural relaxation (PBE).

abc: 4.6757 4.6757 4.6757
angles: 90.00 90.00 90.00
Last column: nearest neighbours and their distance in Å.
Sites, in units of the cell vectors:
S1 0.0000 0.5000 0.0000  2 Ti 2.34
S2 0.0000 0.0000 0.5000  2 Ti 2.34
S3 0.5000 0.0000 0.0000  2 Ti 2.34
Mn1 0.5000 0.5000 0.5000  12 S 3.31
Ti1 0.0000 0.0000 0.0000  6 S 2.34

Summary:
- total DFT energy (no corrections) (eV/atom) = -6.19
- crystal system = cubic
- relative energy among the computed polymorphs (eV/atom) = 0.666
- magnetization (μB/atom) = 0.9980

---

Record 2
Entry from Alexandria via LeMat-Bulk: TiMnS3 after structural relaxation (PBE).

abc: 6.0097 6.2711 6.1085
angles: 80.62 70.12 61.37
Last column: nearest neighbours and their distance in Å.
Sites, in units of the cell vectors:
Ti1 0.1585 0.6830 0.0000  6 S 2.44-2.46
Ti2 0.8415 0.3170 0.0000  6 S 2.44-2.46
Mn1 0.3421 0.3159 0.5000  6 S 2.45-2.54
Mn2 0.6579 0.6841 0.5000  6 S 2.45-2.54
S1 0.7445 0.0000 0.2318  2 Ti 2.44, 2 Mn 2.50
S2 0.2555 0.0000 0.7682  2 Ti 2.44, 2 Mn 2.50
S3 0.0591 0.3692 0.2469  2 Mn 2.45-2.54, 2 Ti 2.45-2.46
S4 0.5717 0.3692 0.7531  2 Mn 2.45-2.54, 2 Ti 2.45-2.46
S5 0.9409 0.6308 0.7531  2 Mn 2.45-2.54, 2 Ti 2.45-2.46
S6 0.4283 0.6308 0.2469  2 Mn 2.45-2.54, 2 Ti 2.45-2.46

Summary:
- total DFT energy (no corrections) (eV/atom) = -6.81
- crystal system = monoclinic
- relative energy among the computed polymorphs (eV/atom) = 0.045
- magnetization (μB/atom) = 0.9421

---

Record 3
Entry from Alexandria via LeMat-Bulk: TiMn2S4 after structural relaxation (PBE).

abc: 3.3734 6.1210 11.9650
angles: 90.00 90.00 106.00
Last column: nearest neighbours and their distance in Å.
Sites, in units of the cell vectors:
Ti1 0.6286 0.2572 0.7500  6 S 2.48-2.54
Ti2 0.3714 0.7428 0.2500  6 S 2.48-2.54
Mn1 0.1292 0.2583 0.4275  6 S 2.43-2.54
Mn2 0.8708 0.7417 0.9275  6 S 2.43-2.54
Mn3 0.1292 0.2583 0.0725  6 S 2.43-2.54
Mn4 0.8708 0.7417 0.5725  6 S 2.43-2.54
S1 0.7789 0.5579 0.1194  3 Mn 2.50-2.54, 2 Ti 2.54
S2 0.7789 0.5579 0.3806  3 Mn 2.50-2.54, 2 Ti 2.54
S3 0.2211 0.4421 0.8806  3 Mn 2.50-2.54, 2 Ti 2.54
S4 0.2211 0.4421 0.6194  3 Mn 2.50-2.54, 2 Ti 2.54
S5 0.9744 0.9488 0.7500  2 Mn 2.45, 2 Ti 2.48
S6 0.0256 0.0512 0.2500  2 Mn 2.45, 2 Ti 2.48
S7 0.5000 0.0000 0.0000  4 Mn 2.43
S8 0.5000 0.0000 0.5000  4 Mn 2.43

Summary:
- total DFT energy (no corrections) (eV/atom) = -6.88
- crystal system = orthorhombic
- relative energy among the computed polymorphs (eV/atom) = 0.071
- magnetization (μB/atom) = 1.3222

---

Record 4
Entry from Alexandria via LeMat-Bulk: TiMn2S4 after structural relaxation (PBE).

abc: 7.1017 7.2951 7.2951
angles: 59.98 60.87 60.87
Last column: nearest neighbours and their distance in Å.
Sites, in units of the cell vectors:
Ti1 0.0000 0.5000 0.0000  6 S 2.46-2.48
Ti2 0.5000 0.5000 0.0000  6 S 2.46-2.48
Mn1 0.1224 0.1276 0.6276  4 S 2.36-2.37
Mn2 0.5000 0.0000 0.0000  6 S 2.47-2.58
Mn3 0.5000 0.5000 0.5000  6 S 2.47-2.58
Mn4 0.8776 0.8724 0.3724  4 S 2.36-2.37
S1 0.2530 0.2632 0.2308  2 Mn 2.37-2.58, 2 Ti 2.46
S2 0.2530 0.7308 0.7632  2 Mn 2.37-2.58, 2 Ti 2.46
S3 0.2532 0.2633 0.7633  3 Mn 2.36-2.47, 1 Ti 2.48
S4 0.7203 0.2633 0.7633  3 Mn 2.36-2.47, 1 Ti 2.48
S5 0.2797 0.7367 0.2367  3 Mn 2.36-2.47, 1 Ti 2.48
S6 0.7470 0.2692 0.2368  2 Mn 2.37-2.58, 2 Ti 2.46
S7 0.7468 0.7367 0.2367  3 Mn 2.36-2.47, 1 Ti 2.48
S8 0.7470 0.7368 0.7692  2 Mn 2.37-2.58, 2 Ti 2.46

Summary:
- total DFT energy (no corrections) (eV/atom) = -6.95
- crystal system = orthorhombic
- relative energy among the computed polymorphs (eV/atom) = 0.000
- magnetization (μB/atom) = 1.3674

---

Record 5
Entry from Alexandria via LeMat-Bulk: Ti3Mn3S8 after structural relaxation (PBE).

abc: 7.3199 7.3199 7.3199
angles: 58.28 58.28 58.28
Last column: nearest neighbours and their distance in Å.
Sites, in units of the cell vectors:
Ti1 0.5000 0.0000 0.0000  6 S 2.46-2.49
Ti2 0.0000 0.5000 0.0000  6 S 2.46-2.49
Ti3 0.0000 0.0000 0.5000  6 S 2.46-2.49
Mn1 0.3733 0.3733 0.3733  4 S 2.34-2.35
Mn2 0.6267 0.6267 0.6267  4 S 2.34-2.35
Mn3 0.0000 0.0000 0.0000  6 S 2.51
S1 0.7563 0.7563 0.7563  1 Mn 2.35, 3 Ti 2.49
S2 0.2266 0.7551 0.7551  2 Mn 2.34-2.51, 2 Ti 2.46
S3 0.7551 0.2266 0.7551  2 Mn 2.34-2.51, 2 Ti 2.46
S4 0.7551 0.7551 0.2266  2 Mn 2.34-2.51, 2 Ti 2.46
S5 0.2437 0.2437 0.2437  1 Mn 2.35, 3 Ti 2.49
S6 0.7734 0.2449 0.2449  2 Mn 2.34-2.51, 2 Ti 2.46
S7 0.2449 0.7734 0.2449  2 Mn 2.34-2.51, 2 Ti 2.46
S8 0.2449 0.2449 0.7734  2 Mn 2.34-2.51, 2 Ti 2.46

Summary:
- total DFT energy (no corrections) (eV/atom) = -7.01
- crystal system = trigonal
- magnetization (μB/atom) = 0.9463

---

Record 6
Entry from Alexandria via LeMat-Bulk: TiMn2S3 after structural relaxation (PBE).

abc: 6.6791 6.6791 12.2747
angles: 100.60 100.60 108.91
Last column: nearest neighbours and their distance in Å.
Sites, in units of the cell vectors:
Ti1 0.2455 0.4086 0.6803  4 S 2.33-2.40
Ti2 0.5914 0.7545 0.3197  4 S 2.33-2.40
Ti3 0.0217 0.6848 0.1803  4 S 2.33-2.40
Ti4 0.3152 0.9783 0.8197  4 S 2.33-2.40
Mn1 0.0819 0.2415 0.3385  4 S 2.37-2.40
Mn2 0.4125 0.5875 0.0000  4 S 2.37-2.39
Mn3 0.7585 0.9181 0.6615  4 S 2.37-2.40
Mn4 0.4934 0.1530 0.1615  4 S 2.37-2.40
Mn5 0.8470 0.5066 0.8385  4 S 2.37-2.40
Mn6 0.1625 0.8375 0.5000  4 S 2.37-2.39
Mn7 0.9097 0.0903 0.0000  4 S 2.37-2.38
Mn8 0.6597 0.3403 0.5000  4 S 2.37-2.38
S1 0.4688 0.3656 0.8408  2 Ti 2.36-2.40, 2 Mn 2.39-2.40
S2 0.7824 0.7089 0.4893  1 Ti 2.36, 3 Mn 2.37
S3 0.1200 0.0461 0.1664  1 Ti 2.33, 3 Mn 2.37-2.38
S4 0.9539 0.8800 0.8336  1 Ti 2.33, 3 Mn 2.37-2.38
S5 0.2911 0.2176 0.5107  1 Ti 2.36, 3 Mn 2.37
S6 0.6344 0.5312 0.1592  2 Ti 2.36-2.40, 2 Mn 2.39-2.40
S7 0.0431 0.4697 0.0107  1 Ti 2.36, 3 Mn 2.37
S8 0.3780 0.7748 0.6592  2 Ti 2.36-2.40, 2 Mn 2.39-2.40
S9 0.7036 0.1297 0.3336  1 Ti 2.33, 3 Mn 2.37-2.38
S10 0.2252 0.6220 0.3408  2 Ti 2.36-2.40, 2 Mn 2.39-2.40
S11 0.5303 0.9569 0.9893  1 Ti 2.36, 3 Mn 2.37
S12 0.8703 0.2964 0.6664  1 Ti 2.33, 3 Mn 2.37-2.38

Summary:
- total DFT energy (no corrections) (eV/atom) = -7.14
- crystal system = orthorhombic
- magnetization (μB/atom) = 1.3332

---

Record 7
Entry from Alexandria via LeMat-Bulk: TiMn2S6 after structural relaxation (PBE).

abc: 3.3462 7.6070 8.2233
angles: 112.85 101.74 90.00
Last column: nearest neighbours and their distance in Å.
Sites, in units of the cell vectors:
Ti1 0.5000 0.0000 0.0000  6 S 2.42
Mn1 0.8345 0.6696 0.6691  6 S 2.33-2.35
Mn2 0.1655 0.3304 0.3309  6 S 2.33-2.35
S1 0.3365 0.8875 0.6730  2 Mn 2.35, 1 Ti 2.42
S2 0.0083 0.2367 0.0165  1 Mn 2.34, 2 Ti 2.42
S3 0.6771 0.5531 0.3542  3 Mn 2.33
S4 0.9917 0.7633 0.9835  1 Mn 2.34, 2 Ti 2.42
S5 0.6635 0.1125 0.3270  2 Mn 2.35, 1 Ti 2.42
S6 0.3229 0.4469 0.6458  3 Mn 2.33

Summary:
- total DFT energy (no corrections) (eV/atom) = -6.45
- crystal system = monoclinic
- magnetization (μB/atom) = 0.6376

---

Record 8
Entry from Alexandria via LeMat-Bulk: Ti2MnS5 after structural relaxation (PBE).

abc: 4.5074 6.4917 6.6355
angles: 83.23 70.14 69.69
Last column: nearest neighbours and their distance in Å.
Sites, in units of the cell vectors:
Ti1 0.8133 0.5000 0.8735  3 S 2.33-2.45
Ti2 0.1867 0.5000 0.1265  3 S 2.33-2.45
Mn1 0.5000 0.5000 0.5000  6 S 2.25-2.44
S1 0.2235 0.7414 0.8116  1 Mn 2.44, 3 Ti 2.45-2.72
S2 0.5351 0.7414 0.1884  1 Mn 2.44, 3 Ti 2.45-2.72
S3 0.0000 0.5000 0.5000  2 Mn 2.25, 2 Ti 2.33
S4 0.7765 0.2586 0.1884  1 Mn 2.44, 3 Ti 2.45-2.72
S5 0.4649 0.2586 0.8116  1 Mn 2.44, 3 Ti 2.45-2.72

Summary:
- total DFT energy (no corrections) (eV/atom) = -6.51
- crystal system = orthorhombic
- magnetization (μB/atom) = 0.5629

---

Record 9
Entry from Alexandria via LeMat-Bulk: Ti3MnTl3S8 after structural relaxation (PBE).

abc: 7.0505 7.0530 8.7680
angles: 113.72 89.99 120.01
Last column: nearest neighbours and their distance in Å.
Sites, in units of the cell vectors:
Ti1 0.5000 0.0000 0.5000  6 S 2.46-2.47
Ti2 0.5000 0.5000 0.5000  6 S 2.46-2.47
Ti3 0.0000 0.5000 0.5000  6 S 2.46-2.47
Mn1 0.0000 0.0000 0.5000  6 S 2.46-2.47
Tl1 0.0000 0.0000 0.0000  6 S 3.21-3.23, 4 Tl 3.53
Tl2 0.0000 0.5000 0.0000  6 S 3.21-3.23, 4 Tl 3.53
Tl3 0.5000 0.5000 0.0000  6 S 3.21-3.23, 4 Tl 3.53
S1 0.2736 0.5468 0.3202  3 Ti 2.47
S2 0.7264 0.4532 0.6798  3 Ti 2.47
S3 0.7733 0.5465 0.3218  2 Ti 2.46, 1 Mn 2.47
S4 0.2267 0.4535 0.6782  2 Ti 2.46, 1 Mn 2.47
S5 0.7737 0.0483 0.3220  2 Ti 2.46, 1 Mn 2.46
S6 0.2263 0.9517 0.6780  2 Ti 2.46, 1 Mn 2.46
S7 0.2745 0.0484 0.3222  2 Ti 2.46, 1 Mn 2.46
S8 0.7255 0.9516 0.6778  2 Ti 2.46, 1 Mn 2.46

Summary:
- total DFT energy (no corrections) (eV/atom) = -5.79
- crystal system = trigonal
- magnetization (μB/atom) = 0.3431

---

Record 10
Entry from Alexandria via LeMat-Bulk: TiMnTl2S4 after structural relaxation (PBE).

abc: 5.8607 7.2341 11.6983
angles: 84.18 75.49 66.10
Last column: nearest neighbours and their distance in Å.
Sites, in units of the cell vectors:
Ti1 0.7500 0.5000 0.5000  4 S 2.27
Ti2 0.0000 0.0000 0.0000  4 S 2.27
Mn1 0.2500 0.5000 0.5000  4 S 2.38
Mn2 0.5000 0.0000 0.0000  4 S 2.38
Tl1 0.1774 0.0000 0.6451  8 S 3.34-3.65
Tl2 0.8226 0.0000 0.3549  8 S 3.34-3.65
Tl3 0.5726 0.5000 0.8549  8 S 3.34-3.65
Tl4 0.9274 0.5000 0.1451  8 S 3.34-3.65
S1 0.2777 0.8052 0.1116  1 Ti 2.27, 1 Mn 2.38
S2 0.1946 0.1948 0.8884  1 Ti 2.27, 1 Mn 2.38
S3 0.9171 0.8052 0.8884  1 Ti 2.27, 1 Mn 2.38
S4 0.6106 0.1948 0.1116  1 Ti 2.27, 1 Mn 2.38
S5 0.4723 0.6948 0.3884  1 Ti 2.27, 1 Mn 2.38
S6 0.5554 0.3052 0.6116  1 Ti 2.27, 1 Mn 2.38
S7 0.8329 0.6948 0.6116  1 Ti 2.27, 1 Mn 2.38
S8 0.1394 0.3052 0.3884  1 Ti 2.27, 1 Mn 2.38

Summary:
- total DFT energy (no corrections) (eV/atom) = -5.56
- crystal system = orthorhombic
- magnetization (μB/atom) = 0.6250

---

Record 11
Entry from Alexandria via LeMat-Bulk: TiMn2Tl3S6 after structural relaxation (PBE).

abc: 5.8923 5.8923 8.4770
angles: 96.12 96.12 119.98
Last column: nearest neighbours and their distance in Å.
Sites, in units of the cell vectors:
Ti1 0.0000 0.0000 0.0000  6 S 2.45-2.46
Mn1 0.3336 0.6664 0.0000  6 S 2.36
Mn2 0.6664 0.3336 0.0000  6 S 2.36
Tl1 0.1677 0.8323 0.5000  6 S 3.38-3.46, 6 Tl 3.39-3.42
Tl2 0.8323 0.1677 0.5000  6 S 3.38-3.46, 6 Tl 3.39-3.42
Tl3 0.5000 0.5000 0.5000  6 S 3.32-3.45, 6 Tl 3.39-3.41
S1 0.9497 0.6027 0.8358  2 Mn 2.36, 1 Ti 2.46
S2 0.7040 0.7040 0.1642  2 Mn 2.36, 1 Ti 2.45
S3 0.0503 0.3973 0.1642  2 Mn 2.36, 1 Ti 2.46
S4 0.6027 0.9497 0.8358  2 Mn 2.36, 1 Ti 2.46
S5 0.2960 0.2960 0.8358  2 Mn 2.36, 1 Ti 2.45
S6 0.3973 0.0503 0.1642  2 Mn 2.36, 1 Ti 2.46

Summary:
- total DFT energy (no corrections) (eV/atom) = -5.48
- crystal system = monoclinic
- magnetization (μB/atom) = 0.4305

---

Record 12
Entry from Alexandria via LeMat-Bulk: TiMn2Tl2S4 after structural relaxation (PBE).

abc: 3.3512 8.2950 6.7670
angles: 102.54 104.34 90.00
Last column: nearest neighbours and their distance in Å.
Sites, in units of the cell vectors:
Ti1 0.0000 0.0000 0.0000  6 S 2.47-2.58
Mn1 0.6750 0.9787 0.3501  4 S 2.19-2.23
Mn2 0.3250 0.0213 0.6499  4 S 2.19-2.23
Tl1 0.1299 0.5050 0.2598  5 S 3.21-3.45, 5 Tl 3.35-3.58
Tl2 0.8701 0.4950 0.7402  5 S 3.21-3.45, 5 Tl 3.35-3.58
S1 0.1944 0.1540 0.3887  3 Mn 2.20-2.23
S2 0.8056 0.8460 0.6113  3 Mn 2.20-2.23
S3 0.5259 0.7949 0.0518  1 Mn 2.19
S4 0.4741 0.2051 0.9482  1 Mn 2.19

Summary:
- total DFT energy (no corrections) (eV/atom) = -5.92
- crystal system = monoclinic
- magnetization (μB/atom) = 0.1635